Here is a relaxed CaV2Ni crystal from Alexandria. Energies are from GGA-PBE.

Calculated values
E_tot: -91.66 eV/cell
Distance to the lowest polymorph of the same formula: 0.0 meV/atom
Formation energy: 0.78 eV/atom
M_tot: 0.0 μB/f.u.
DOS at the Fermi energy: 6.5 states/eV/f.u.

Lattice parameters (Å, degrees): 4.220 4.220 18.156 90.00 90.00 90.00
Space group I4_1/amd (No. 141, origin choice 2)
Inequivalent atoms, fractional coordinates:
Ca 0.000 0.250 0.375 x4
V 0.000 0.000 0.000 x8
Ni 0.000 0.250 0.875 x4